Below is a geometry-optimized CrIn2Os structure, with properties calculated at the PBE-GGA level.

Structure (CIF):
```
data_CrIn2Os
_chemical_formula_sum 'Cr1 In2 Os1'
_cell_length_a 4.614
_cell_length_b 4.614
_cell_length_c 4.614
_cell_angle_alpha 60.00
_cell_angle_beta 60.00
_cell_angle_gamma 60.00
_space_group_name_H-M_alt 'P 1'
_space_group_IT_number 1
_space_group_name_Hall 'P 1'
loop_
_atom_site_label
_atom_site_fract_x
_atom_site_fract_y
_atom_site_fract_z
_atom_site_occupancy
Cr1 0.000 0.000 0.000 1
In1 0.250 0.250 0.250 1
In2 0.750 0.750 0.750 1
Os1 0.500 0.500 0.500 1
```

## Properties
As for the calculated total energy: -24.86 eV for the cell shown. The energy above the most stable polymorph in this dataset is 122 meV/atom. For the spin magnetization, the calculation gives 0.811 μB per atom.